# 1
A plane-wave DFT calculation with PBE was carried out for a relaxed TcHgCl2 crystal.

a = 3.3683 Å, b = 3.3683 Å, c = 25.4970 Å
α = 90.00°, β = 90.00°, γ = 120.00°
Closest atoms and distances in Å follow each position.
Space group R3m (No. 160, hexagonal axes)
One atom of each set of equivalent atoms:
Tc  0.0000  0.0000  0.0000  3 Cl 2.36
Hg  0.0000  0.0000  0.7512  3 Cl 2.73, 3 Tc 2.90
Cl  0.0000  0.0000  0.2808  3 Tc 2.36
Cl  0.0000  0.0000  0.4929  3 Hg 2.73

Summary:
Formation energy from raw total energies   -35 meV/atom
Density of states at the Fermi level   8.8 states/eV/cell

---

# 2
A plane-wave DFT calculation with PBE was carried out for a relaxed Pu2Ga4SiPd3 crystal.

a = 4.1197 Å, b = 4.1197 Å, c = 11.1214 Å
α = 90.00°, β = 90.00°, γ = 90.00°
Closest atoms and distances in Å follow each position.
Space group P-4m2 (No. 115)
One atom of each set of equivalent atoms:
Pu  0.0000  0.5000  0.2485  6 Pd 3.17-3.45, 8 Ga 3.17-3.47, 2 Si 3.45
Ga  0.0000  0.0000  0.5000  4 Pd 2.58
Ga  0.0000  0.5000  0.8639  3 Pd 2.50-2.56, 2 Si 2.56
Ga  0.5000  0.5000  0.5000  4 Pd 2.58
Si  0.5000  0.5000  0.0000  4 Ga 2.56
Pd  0.0000  0.0000  0.0000  4 Ga 2.56
Pd  0.0000  0.5000  0.6395  5 Ga 2.50-2.58

Summary:
Formation energy from raw total energies   -503 meV/atom
Density of states at the Fermi level   27.7 states/eV/cell

---

Across the entries above, M_tot takes the values 0.0 11.0 μB per formula unit, respectively.